(1)
Entry from Alexandria: PrHgH4Pd6 after structural relaxation (GGA-PBE).

Structure (POSCAR):
```
PrHgH4Pd6
1.0
5.613 0.000 0.000
-2.807 4.861 0.000
0.000 0.000 6.095
Pr Hg H Pd
1 1 4 6
direct
0.000 0.000 0.000 Pr
0.000 0.000 0.500 Hg
0.333 0.667 0.159 H
0.333 0.667 0.841 H
0.667 0.333 0.159 H
0.667 0.333 0.841 H
0.000 0.500 0.269 Pd
0.000 0.500 0.731 Pd
0.500 0.000 0.269 Pd
0.500 0.000 0.731 Pd
0.500 0.500 0.269 Pd
0.500 0.500 0.731 Pd
```

Results
SG = P6/mmm (191)


(2)
Entry from Alexandria: Pr2HgHPd6 after structural relaxation (GGA-PBE).

Structure (POSCAR):
```
Pr2HgHPd6
1.0
5.784 0.000 0.000
2.880 5.020 0.000
2.868 1.655 6.472
Pr Hg H Pd
2 1 1 6
direct
0.235 0.236 0.300 Pr
0.765 0.764 0.700 Pr
0.500 0.500 0.500 Hg
0.000 0.000 0.000 H
0.221 0.720 0.831 Pd
0.223 0.221 0.823 Pd
0.277 0.781 0.171 Pd
0.723 0.219 0.829 Pd
0.777 0.779 0.177 Pd
0.779 0.280 0.169 Pd
```

Results
SG = P-1 (2)


(3)
Entry from Alexandria: PrHgH6Pd4 after structural relaxation (GGA-PBE).

Structure (POSCAR):
```
PrHgH6Pd4
1.0
4.799 0.000 0.000
-2.400 4.156 0.000
0.000 0.000 6.912
Pr Hg H Pd
1 1 6 4
direct
0.000 0.000 0.000 Pr
0.000 0.000 0.500 Hg
0.000 0.500 0.146 H
0.000 0.500 0.854 H
0.500 0.000 0.146 H
0.500 0.000 0.854 H
0.500 0.500 0.146 H
0.500 0.500 0.854 H
0.333 0.667 0.301 Pd
0.333 0.667 0.699 Pd
0.667 0.333 0.301 Pd
0.667 0.333 0.699 Pd
```

Results
SG = P6/mmm (191)


(4)
Entry from Alexandria: HgHPdPt2 after structural relaxation (GGA-PBE).

Structure (POSCAR):
```
HgHPdPt2
1.0
3.914 0.000 0.000
0.000 3.914 0.000
0.000 0.000 4.644
Hg H Pd Pt
1 1 1 2
direct
0.000 0.000 0.000 Hg
0.000 0.000 0.500 H
0.500 0.500 0.000 Pd
0.000 0.500 0.500 Pt
0.500 0.000 0.500 Pt
```

Results
SG = P4/mmm (123)
energy relative to the lowest polymorph listed for this composition = 0.1123 eV/atom


(5)
Entry from Alexandria: HgHPdPt2 after structural relaxation (GGA-PBE).

Structure (POSCAR):
```
HgHPdPt2
1.0
4.030 0.000 0.000
0.000 4.030 0.000
0.000 0.000 4.291
Hg H Pd Pt
1 1 1 2
direct
0.000 0.000 0.000 Hg
0.500 0.500 0.500 H
0.500 0.500 0.000 Pd
0.000 0.500 0.500 Pt
0.500 0.000 0.500 Pt
```

Results
SG = P4/mmm (123)
energy relative to the lowest polymorph listed for this composition = 0.0000 eV/atom


(6)
Entry from Alexandria: RbHg2HPd after structural relaxation (GGA-PBE).

Structure (POSCAR):
```
RbHg2HPd
1.0
5.642 0.000 0.000
0.000 5.642 0.000
0.000 0.000 3.739
Rb Hg H Pd
1 2 1 1
direct
0.000 0.000 0.000 Rb
0.000 0.500 0.500 Hg
0.500 0.000 0.500 Hg
0.500 0.500 0.000 H
0.500 0.500 0.500 Pd
```

Results
SG = P4/mmm (123)


(7)
Entry from Alexandria: Rb2HgH6Pd after structural relaxation (GGA-PBE).

Structure (POSCAR):
```
Rb2HgH6Pd
1.0
-3.052 3.052 4.309
3.052 -3.052 4.309
3.052 3.052 -4.309
Rb Hg H Pd
2 1 6 1
direct
0.250 0.750 0.500 Rb
0.750 0.250 0.500 Rb
0.000 0.000 0.000 Hg
0.307 0.307 0.000 H
0.308 0.308 0.616 H
0.308 0.692 0.000 H
0.692 0.308 0.000 H
0.692 0.692 0.384 H
0.693 0.693 0.000 H
0.500 0.500 0.000 Pd
```

Results
SG = I4/mmm (139)


(8)
Entry from Alexandria: Hg2SbH2Pd7 after structural relaxation (GGA-PBE).

Structure (POSCAR):
```
Hg2SbH2Pd7
1.0
2.872 -2.862 0.000
2.872 2.862 0.000
-1.696 0.000 10.865
Hg Sb H Pd
2 1 2 7
direct
0.115 0.115 0.384 Hg
0.885 0.885 0.616 Hg
0.000 0.000 0.000 Sb
0.425 0.425 0.790 H
0.575 0.575 0.210 H
0.056 0.556 0.186 Pd
0.389 0.389 0.618 Pd
0.444 0.944 0.814 Pd
0.500 0.500 0.000 Pd
0.556 0.056 0.186 Pd
0.611 0.611 0.382 Pd
0.944 0.444 0.814 Pd
```

Results
SG = C2/m (12)


(9)
Entry from Alexandria: HgSb2HPd after structural relaxation (GGA-PBE).

Structure (POSCAR):
```
HgSb2HPd
1.0
5.450 0.000 0.000
0.000 5.450 0.000
0.000 0.000 3.412
Hg Sb H Pd
1 2 1 1
direct
0.000 0.000 0.000 Hg
0.000 0.500 0.500 Sb
0.500 0.000 0.500 Sb
0.500 0.500 0.000 H
0.500 0.500 0.500 Pd
```

Results
SG = P4/mmm (123)


(10)
Entry from Alexandria: ScHgHPd2 after structural relaxation (GGA-PBE).

Structure (POSCAR):
```
ScHgHPd2
1.0
4.152 0.000 0.000
0.000 4.152 0.000
0.000 0.000 4.266
Sc Hg H Pd
1 1 1 2
direct
0.000 0.000 0.000 Sc
0.500 0.500 0.000 Hg
0.000 0.000 0.500 H
0.000 0.500 0.500 Pd
0.500 0.000 0.500 Pd
```

Results
SG = P4/mmm (123)
energy relative to the lowest polymorph listed for this composition = 0.0000 eV/atom


(11)
Entry from Alexandria: Sc2HgHPd after structural relaxation (GGA-PBE).

Structure (POSCAR):
```
Sc2HgHPd
1.0
4.756 0.000 0.000
0.000 4.756 0.000
0.000 0.000 3.638
Sc Hg H Pd
2 1 1 1
direct
0.000 0.500 0.000 Sc
0.500 0.000 0.000 Sc
0.000 0.000 0.500 Hg
0.500 0.500 0.000 H
0.500 0.500 0.500 Pd
```

Results
SG = P4/mmm (123)


(12)
Entry from Alexandria: ScHgHPd2 after structural relaxation (GGA-PBE).

Structure (POSCAR):
```
ScHgHPd2
1.0
5.057 0.000 0.000
0.000 5.057 0.000
0.000 0.000 5.293
Sc Hg H Pd
1 1 1 2
direct
0.000 0.000 0.000 Sc
0.000 0.000 0.500 Hg
0.500 0.500 0.000 H
0.000 0.500 0.500 Pd
0.500 0.000 0.500 Pd
```

Results
SG = P4/mmm (123)
energy relative to the lowest polymorph listed for this composition = 1.5647 eV/atom


Density of states at the Fermi level, respectively: 0.309 0.366 0.259 0.657 0.758 0.362 0.000 0.334 0.520 0.589 0.550 1.215 states/eV/atom.
DFT total energy, respectively: -52.70 -49.79 -49.13 -20.52 -21.09 -10.42 -29.48 -50.44 -16.92 -22.53 -24.31 -14.70 eV for the cell shown.
Magnetic moment, respectively: 0.00 0.00 0.00 0.00 0.00 0.00 0.00 0.00 0.00 0.00 0.00 0.00 μB/cell.